No. 1
Below is crystalline PSeS2O at its relaxed geometry, with properties calculated at the PBE level.

Summary:
Distance to the lowest polymorph of the same formula (eV/atom): 0.4905
DOS at the Fermi energy (states/eV/f.u.): 4.00
Formation energy (no corrections) (meV per atom): 1432.0
Total moment (μB/f.u.): 0.87

The structure in CIF format:
```
data_PSeS2O
_space_group_name_H-M_alt 'P 4/m m m'
_space_group_IT_number 123
_space_group_name_Hall '-P 4 2'
_cell_length_a 4.770
_cell_length_b 4.770
_cell_length_c 4.935
_cell_angle_alpha 90.00
_cell_angle_beta 90.00
_cell_angle_gamma 90.00
loop_
_atom_site_label
_atom_site_type_symbol
_atom_site_fract_x
_atom_site_fract_y
_atom_site_fract_z
P1 P 0.000 0.000 0.000
Se1 Se 0.000 0.000 0.500
S1 S 0.000 0.500 0.500
O1 O 0.500 0.500 0.000
```



No. 2
Below is crystalline SiPS2O at its relaxed geometry, with properties calculated at the PBE level.

Summary:
Distance to the lowest polymorph of the same formula (eV/atom): 0.1696
DOS at the Fermi energy (states/eV/f.u.): 4.74
Formation energy (no corrections) (meV per atom): 982.9
Total moment (μB/f.u.): 1.12

The structure in CIF format:
```
data_SiPS2O
_space_group_name_H-M_alt 'P 4/m m m'
_space_group_IT_number 123
_space_group_name_Hall '-P 4 2'
_cell_length_a 4.400
_cell_length_b 4.400
_cell_length_c 4.627
_cell_angle_alpha 90.00
_cell_angle_beta 90.00
_cell_angle_gamma 90.00
loop_
_atom_site_label
_atom_site_type_symbol
_atom_site_fract_x
_atom_site_fract_y
_atom_site_fract_z
Si1 Si 0.000 0.000 0.000
P1 P 0.000 0.000 0.500
S1 S 0.000 0.500 0.000
O1 O 0.500 0.500 0.500
```



No. 3
Below is crystalline SiPS2O at its relaxed geometry, with properties calculated at the PBE level.

Summary:
Distance to the lowest polymorph of the same formula (eV/atom): 0.0000
DOS at the Fermi energy (states/eV/f.u.): 3.15
Formation energy (no corrections) (meV per atom): 813.4
Total moment (μB/f.u.): 0.00

The structure in CIF format:
```
data_SiPS2O
_space_group_name_H-M_alt 'P 4/m m m'
_space_group_IT_number 123
_space_group_name_Hall '-P 4 2'
_cell_length_a 4.256
_cell_length_b 4.256
_cell_length_c 4.167
_cell_angle_alpha 90.00
_cell_angle_beta 90.00
_cell_angle_gamma 90.00
loop_
_atom_site_label
_atom_site_type_symbol
_atom_site_fract_x
_atom_site_fract_y
_atom_site_fract_z
Si1 Si 0.000 0.000 0.000
P1 P 0.500 0.500 0.000
S1 S 0.000 0.500 0.500
O1 O 0.500 0.500 0.500
```



No. 4
Below is crystalline Sm8P3S3O at its relaxed geometry, with properties calculated at the PBE level.

Summary:
DOS at the Fermi energy (states/eV/f.u.): 5.54
Formation energy (no corrections) (meV per atom): -1779.9
Total moment (μB/f.u.): 0.00

The structure in CIF format:
```
data_Sm8P3S3O
_space_group_name_H-M_alt 'R -3 m'
_space_group_IT_number 166
_space_group_name_Hall '-R 3 2"'
_cell_length_a 8.0221
_cell_length_b 8.0221
_cell_length_c 19.4558
_cell_angle_alpha 90.00
_cell_angle_beta 90.00
_cell_angle_gamma 120.00
loop_
_atom_site_label
_atom_site_type_symbol
_atom_site_fract_x
_atom_site_fract_y
_atom_site_fract_z
Sm1 Sm 0.0000 0.0000 0.2482
Sm2 Sm 0.0235 0.5118 0.7457
P1 P 0.0000 0.5000 0.5000
S1 S 0.0000 0.5000 0.0000
O1 O 0.0000 0.0000 0.0000
```



No. 5
Below is crystalline Sm4PS2O at its relaxed geometry, with properties calculated at the PBE level.

Summary:
DOS at the Fermi energy (states/eV/f.u.): 3.56
Formation energy (no corrections) (meV per atom): -2041.7
Total moment (μB/f.u.): 0.00

The structure in CIF format:
```
data_Sm4PS2O
_space_group_name_H-M_alt 'P 1 2/m 1'
_space_group_IT_number 10
_cell_length_a 6.742
_cell_length_b 3.909
_cell_length_c 6.890
_cell_angle_alpha 90.00
_cell_angle_beta 109.11
_cell_angle_gamma 90.00
loop_
_space_group_symop_operation_xyz
'x,y,z'
'-x,-y,-z'
'-x,y,-z'
'x,-y,z'
loop_
_atom_site_label
_atom_site_type_symbol
_atom_site_fract_x
_atom_site_fract_y
_atom_site_fract_z
Sm1 Sm 0.229 0.000 0.224
Sm2 Sm 0.239 0.500 0.769
P1 P 0.500 0.000 0.000
S1 S 0.000 0.000 0.500
S2 S 0.500 0.500 0.500
O1 O 0.000 0.500 0.000
```



No. 6
Below is crystalline SrP2SO at its relaxed geometry, with properties calculated at the PBE level.

Summary:
Distance to the lowest polymorph of the same formula (eV/atom): 0.0000
DOS at the Fermi energy (states/eV/f.u.): 3.19
Formation energy (no corrections) (meV per atom): -267.0
Total moment (μB/f.u.): 0.00

The structure in CIF format:
```
data_SrP2SO
_space_group_name_H-M_alt 'P 4/m m m'
_space_group_IT_number 123
_space_group_name_Hall '-P 4 2'
_cell_length_a 3.999
_cell_length_b 3.999
_cell_length_c 6.616
_cell_angle_alpha 90.00
_cell_angle_beta 90.00
_cell_angle_gamma 90.00
loop_
_atom_site_label
_atom_site_type_symbol
_atom_site_fract_x
_atom_site_fract_y
_atom_site_fract_z
Sr1 Sr 0.000 0.000 0.000
P1 P 0.000 0.500 0.500
S1 S 0.500 0.500 0.000
O1 O 0.500 0.500 0.500
```



No. 7
Below is crystalline Sr10P6SO24 at its relaxed geometry, with properties calculated at the PBE level.

Summary:
DOS at the Fermi energy (states/eV/f.u.): 0.00
Formation energy (no corrections) (meV per atom): -2880.9
Total moment (μB/f.u.): 0.12

The structure in CIF format:
```
data_Sr10P6SO24
_space_group_name_H-M_alt 'P -3'
_space_group_IT_number 147
_cell_length_a 9.9296
_cell_length_b 9.9296
_cell_length_c 7.2846
_cell_angle_alpha 90.00
_cell_angle_beta 90.00
_cell_angle_gamma 120.00
loop_
_space_group_symop_operation_xyz
'x,y,z'
'-x,-y,-z'
'-y,x-y,z'
'y,-x+y,-z'
'-x+y,-x,z'
'x-y,x,-z'
loop_
_atom_site_label
_atom_site_type_symbol
_atom_site_fract_x
_atom_site_fract_y
_atom_site_fract_z
Sr1 Sr 0.0114 0.2572 0.2592
Sr2 Sr 0.3333 0.6667 0.0210
Sr3 Sr 0.3333 0.6667 0.5188
P1 P 0.0289 0.3980 0.7530
S1 S 0.0000 0.0000 0.5000
O1 O 0.0649 0.3098 0.9047
O2 O 0.0992 0.3811 0.5694
O3 O 0.1125 0.5762 0.7949
O4 O 0.1503 0.6711 0.2608
```



No. 8
Below is crystalline SrP2SO at its relaxed geometry, with properties calculated at the PBE level.

Summary:
Distance to the lowest polymorph of the same formula (eV/atom): 1.3153
DOS at the Fermi energy (states/eV/f.u.): 3.29
Formation energy (no corrections) (meV per atom): 1048.3
Total moment (μB/f.u.): 3.39

The structure in CIF format:
```
data_SrP2SO
_space_group_name_H-M_alt 'P 4/m m m'
_space_group_IT_number 123
_space_group_name_Hall '-P 4 2'
_cell_length_a 5.896
_cell_length_b 5.896
_cell_length_c 4.322
_cell_angle_alpha 90.00
_cell_angle_beta 90.00
_cell_angle_gamma 90.00
loop_
_atom_site_label
_atom_site_type_symbol
_atom_site_fract_x
_atom_site_fract_y
_atom_site_fract_z
Sr1 Sr 0.000 0.000 0.000
P1 P 0.000 0.500 0.000
S1 S 0.500 0.500 0.500
O1 O 0.000 0.000 0.500
```



No. 9
Below is crystalline SrPS2O at its relaxed geometry, with properties calculated at the PBE level.

Summary:
Distance to the lowest polymorph of the same formula (eV/atom): 0.0000
DOS at the Fermi energy (states/eV/f.u.): 3.39
Formation energy (no corrections) (meV per atom): -268.0
Total moment (μB/f.u.): 0.56

The structure in CIF format:
```
data_SrPS2O
_space_group_name_H-M_alt 'P 4/m m m'
_space_group_IT_number 123
_space_group_name_Hall '-P 4 2'
_cell_length_a 5.049
_cell_length_b 5.049
_cell_length_c 3.697
_cell_angle_alpha 90.00
_cell_angle_beta 90.00
_cell_angle_gamma 90.00
loop_
_atom_site_label
_atom_site_type_symbol
_atom_site_fract_x
_atom_site_fract_y
_atom_site_fract_z
Sr1 Sr 0.000 0.000 0.000
P1 P 0.500 0.500 0.000
S1 S 0.000 0.500 0.500
O1 O 0.500 0.500 0.500
```



No. 10
Below is crystalline SrP2SO at its relaxed geometry, with properties calculated at the PBE level.

Summary:
Distance to the lowest polymorph of the same formula (eV/atom): 0.2319
DOS at the Fermi energy (states/eV/f.u.): 3.59
Formation energy (no corrections) (meV per atom): -35.1
Total moment (μB/f.u.): 0.00

The structure in CIF format:
```
data_SrP2SO
_space_group_name_H-M_alt 'P 4/m m m'
_space_group_IT_number 123
_space_group_name_Hall '-P 4 2'
_cell_length_a 4.580
_cell_length_b 4.580
_cell_length_c 4.403
_cell_angle_alpha 90.00
_cell_angle_beta 90.00
_cell_angle_gamma 90.00
loop_
_atom_site_label
_atom_site_type_symbol
_atom_site_fract_x
_atom_site_fract_y
_atom_site_fract_z
Sr1 Sr 0.000 0.000 0.000
P1 P 0.000 0.500 0.500
S1 S 0.500 0.500 0.500
O1 O 0.500 0.500 0.000
```



No. 11
Below is crystalline SrPSO2 at its relaxed geometry, with properties calculated at the PBE level.

Summary:
DOS at the Fermi energy (states/eV/f.u.): 3.12
Formation energy (no corrections) (meV per atom): -465.6
Total moment (μB/f.u.): 0.00

The structure in CIF format:
```
data_SrPSO2
_space_group_name_H-M_alt 'P 4/m m m'
_space_group_IT_number 123
_space_group_name_Hall '-P 4 2'
_cell_length_a 4.160
_cell_length_b 4.160
_cell_length_c 4.416
_cell_angle_alpha 90.00
_cell_angle_beta 90.00
_cell_angle_gamma 90.00
loop_
_atom_site_label
_atom_site_type_symbol
_atom_site_fract_x
_atom_site_fract_y
_atom_site_fract_z
Sr1 Sr 0.000 0.000 0.000
P1 P 0.500 0.500 0.000
S1 S 0.500 0.500 0.500
O1 O 0.000 0.500 0.500
```



No. 12
Below is crystalline SrP2SO at its relaxed geometry, with properties calculated at the PBE level.

Summary:
Distance to the lowest polymorph of the same formula (eV/atom): 1.9935
DOS at the Fermi energy (states/eV/f.u.): 16.08
Formation energy (no corrections) (meV per atom): 1726.5
Total moment (μB/f.u.): 0.01

The structure in CIF format:
```
data_SrP2SO
_space_group_name_H-M_alt 'P 4/m m m'
_space_group_IT_number 123
_space_group_name_Hall '-P 4 2'
_cell_length_a 5.711
_cell_length_b 5.711
_cell_length_c 5.378
_cell_angle_alpha 90.00
_cell_angle_beta 90.00
_cell_angle_gamma 90.00
loop_
_atom_site_label
_atom_site_type_symbol
_atom_site_fract_x
_atom_site_fract_y
_atom_site_fract_z
Sr1 Sr 0.000 0.000 0.000
P1 P 0.000 0.500 0.000
S1 S 0.000 0.000 0.500
O1 O 0.500 0.500 0.500
```